CeV2NiO8, optimized geometry, DFT PBE+U; total DFT energy (no corrections) = -87.5 eV/cell
1.0
-3.655 2.926 3.447
3.615 -3.943 2.277
4.092 4.199 0.775
O V Ce Ni
8 2 1 1
Cartesian
5.451 0.255 3.036
1.323 3.258 3.541
3.567 1.763 4.813
3.588 2.288 1.863
-1.400 2.926 3.463
2.728 -0.077 2.958
0.464 0.893 4.637
0.484 1.418 1.686
0.200 2.105 3.329
3.851 1.076 3.171
0.000 0.000 0.000
2.046 2.099 0.388